Entry 1:
A plane-wave DFT calculation with GGA-PBE was carried out for a relaxed structure of TbDy2Tl2.

Unit cell a=3.7659 b=5.3834 c=14.1500 alpha=90.00 beta=97.67 gamma=90.00
With the nearest neighbours (Å) after each atom.
Element x y z (fractional)
1 Dy 0.7621 0.2500 0.5247  2 Tl 3.21-3.22, 4 Dy 3.36
2 Dy 0.2379 0.7500 0.4753  2 Tl 3.21-3.22, 4 Dy 3.36
3 Dy 0.0496 0.7500 0.0986  8 Tl 3.27-3.33
4 Dy 0.9504 0.2500 0.9014  8 Tl 3.27-3.33
5 Tl 0.4507 0.7500 0.9025  6 Dy 3.28-3.33, 2 Tb 3.39-3.40
6 Tl 0.5493 0.2500 0.0975  6 Dy 3.28-3.33, 2 Tb 3.39-3.40
7 Tl 0.3561 0.2500 0.7105  4 Dy 3.21-3.28, 4 Tb 3.29
8 Tl 0.6439 0.7500 0.2895  4 Dy 3.21-3.28, 4 Tb 3.29
9 Tb 0.8517 0.7500 0.7012  6 Tl 3.29-3.40, 2 Dy 3.66
10 Tb 0.1483 0.2500 0.2988  6 Tl 3.29-3.40, 2 Dy 3.66

Calculated values
SG = No. 11
Energy above the lowest structure with this stoichiometry = 0 meV per atom


Entry 2:
A plane-wave DFT calculation with GGA-PBE was carried out for a relaxed structure of MgTi2.

Unit cell a=5.6769 b=5.6769 c=5.6769 alpha=54.08 beta=54.08 gamma=54.08
With the nearest neighbours (Å) after each atom.
Element x y z (fractional)
1 Mg 0.8422 0.8422 0.8422  9 Ti 2.98-3.02, 3 Mg 2.99
2 Mg 0.1578 0.1578 0.1578  9 Ti 2.98-3.02, 3 Mg 2.99
3 Ti 0.0000 0.3721 0.6279  6 Ti 2.82-2.91, 4 Mg 2.99-3.02
4 Ti 0.3721 0.6279 0.0000  6 Ti 2.82-2.91, 4 Mg 2.99-3.02
5 Ti 0.6279 0.0000 0.3721  6 Ti 2.82-2.91, 4 Mg 2.99-3.02
6 Ti 0.5000 0.5000 0.5000  6 Ti 2.91, 6 Mg 2.98

Calculated values
SG = No. 155


Entry 3:
A plane-wave DFT calculation with GGA-PBE was carried out for a relaxed structure of ThZn4Co2.

Unit cell a=3.6468 b=7.7893 c=7.7893 alpha=90.00 beta=90.00 gamma=90.00
With the nearest neighbours (Å) after each atom.
Element x y z (fractional)
1 Zn 0.0000 0.3447 0.0982  3 Co 2.52, 5 Zn 2.72
2 Zn 0.0000 0.0982 0.3447  3 Co 2.52, 5 Zn 2.72
3 Zn 0.0000 0.6553 0.9018  3 Co 2.52, 5 Zn 2.72
4 Zn 0.5000 0.1553 0.5982  3 Co 2.52, 5 Zn 2.72
5 Zn 0.5000 0.5982 0.1553  3 Co 2.52, 5 Zn 2.72
6 Zn 0.5000 0.4018 0.8447  3 Co 2.52, 5 Zn 2.72
7 Zn 0.5000 0.8447 0.4018  3 Co 2.52, 5 Zn 2.72
8 Zn 0.0000 0.9018 0.6553  3 Co 2.52, 5 Zn 2.72
9 Th 0.0000 0.5000 0.5000  4 Co 2.69
10 Th 0.5000 0.0000 0.0000  4 Co 2.69
11 Co 0.0000 0.8200 0.1800  6 Zn 2.52, 2 Th 2.69
12 Co 0.5000 0.6800 0.6800  6 Zn 2.52, 2 Th 2.69
13 Co 0.5000 0.3200 0.3200  6 Zn 2.52, 2 Th 2.69
14 Co 0.0000 0.1800 0.8200  6 Zn 2.52, 2 Th 2.69

Calculated values
SG = No. 136


| no. | total energy (eV per atom) | DOS at the Fermi energy (states/eV/f.u.) |
| --- | --- | --- |
| 1 | -3.9955 | 5.03 |
| 2 | -5.5783 | 4.74 |
| 3 | -4.0560 | 2.73 |